# 1
## LuB4Rh (PBE)

Data for a geometry-optimized LuB4Rh structure.

Summary:
The energy of formation comes out at 245 kJ/mol of formula units. The value obtained for the distance to the lowest polymorph of the same formula is 1.0531 eV/atom. As for the spin magnetization: 0.000 μB/cell. Its space-group type is F-43m.

Cell and atoms, written as POSCAR:
```
LuB4Rh
1.0
4.457 0.000 0.000
2.229 3.860 0.000
2.229 1.287 3.639
B Rh Lu
4 1 1
direct
0.599 0.599 0.203
0.203 0.599 0.599
0.599 0.599 0.599
0.599 0.203 0.599
0.000 0.000 0.000
0.250 0.250 0.250
```



# 2
## KLiSe2 (PBE)

Data for a geometry-optimized KLiSe2 structure.

Summary:
The value obtained for the formation energy without anion corrections is -3.0 eV/f.u. As for the spin magnetization: 0.000 μB/cell. Its space-group type is P4/mmm.

Cell and atoms, written as POSCAR:
```
KLiSe2
1.0
3.935 0.000 0.000
0.000 3.935 0.000
0.000 0.000 6.484
Se K Li
2 1 1
direct
0.000 0.000 0.939
0.000 0.000 0.561
0.500 0.500 0.250
0.500 0.500 0.750
```



# 3
## BaSc2Se (PBE)

Data for a geometry-optimized BaSc2Se structure.

Summary:
The value obtained for the formation energy without anion corrections is -0.5 eV/f.u. As for the spin magnetization: 1.727 μB/cell. Its space-group type is I-4m2.

Cell and atoms, written as POSCAR:
```
BaSc2Se
1.0
-1.935 -4.397 -3.665
4.266 -2.103 -3.728
-0.307 0.991 5.953
Se Ba Sc
1 1 2
direct
0.500 0.500 0.000
0.750 0.250 0.500
0.000 0.000 0.000
0.250 0.750 0.500
```



# 4
## CaPIr (PBE)

Data for a geometry-optimized CaPIr structure.

Summary:
The energy of formation comes out at -72 kJ/mol of formula units. As for the spin magnetization: 0.001 μB/cell. Its space-group type is F-43m.

Cell and atoms, written as POSCAR:
```
CaPIr
1.0
-2.031 -1.135 -3.649
2.248 -1.678 -3.296
-0.447 -4.183 -1.016
Ir Ca P
1 1 1
direct
0.500 0.500 0.500
0.000 0.000 0.000
0.250 0.250 0.250
```



# 5
## Tb5Nd2ErMg (PBE)

Data for a geometry-optimized Tb5Nd2ErMg structure.

Summary:
The energy of formation comes out at 82 kJ/mol of formula units. As for the spin magnetization: 0.000 μB/cell. Its space-group type is Cmc2_1.

Cell and atoms, written as POSCAR:
```
Tb5Nd2ErMg
1.0
5.466 0.000 0.000
-2.733 10.053 0.000
0.000 0.000 10.546
Mg Tb Er Nd
2 10 2 4
direct
0.595 0.190 0.006
0.405 0.810 0.506
0.501 0.001 0.257
0.712 0.424 0.811
0.986 0.972 0.509
0.619 0.239 0.509
0.711 0.421 0.206
0.288 0.576 0.311
0.381 0.761 0.009
0.014 0.028 0.009
0.499 0.999 0.757
0.289 0.579 0.706
0.796 0.593 0.509
0.204 0.407 0.009
0.115 0.230 0.298
0.885 0.770 0.798
0.884 0.769 0.219
0.116 0.231 0.719
```



# 6
## Ac6Pd2Ru (PBE)

Data for a geometry-optimized Ac6Pd2Ru structure.

Summary:
The energy of formation comes out at -384 kJ/mol of formula units. As for the spin magnetization: 0.000 μB/cell. Its space-group type is P2_1/c.

Cell and atoms, written as POSCAR:
```
Ac6Pd2Ru
1.0
7.201 0.000 0.044
0.000 7.958 0.000
-0.834 0.000 11.078
Ac Pd Ru
12 4 2
direct
0.675 0.182 0.568
0.832 0.684 0.576
0.160 0.048 0.746
0.325 0.818 0.432
0.340 0.548 0.754
0.840 0.952 0.254
0.168 0.316 0.424
0.668 0.184 0.924
0.332 0.816 0.076
0.660 0.452 0.246
0.825 0.682 0.932
0.175 0.318 0.068
0.057 0.615 0.227
0.443 0.115 0.273
0.943 0.385 0.773
0.557 0.885 0.727
0.000 0.000 0.500
0.500 0.500 0.000
```